Density functional theory data (PBE) for an optimized crystal structure of CaTe2As.

```
CaTe2As
1.0
6.298 0.000 0.000
0.000 6.298 0.000
0.000 0.000 15.859
Ca Te As
4 8 4
direct
0.000 0.000 0.000
0.000 0.500 0.250
0.500 0.000 0.750
0.500 0.500 0.500
0.209 0.250 0.625
0.250 0.709 0.875
0.250 0.791 0.375
0.291 0.250 0.125
0.709 0.750 0.125
0.750 0.209 0.375
0.750 0.291 0.875
0.791 0.750 0.625
0.000 0.000 0.500
0.000 0.500 0.750
0.500 0.000 0.250
0.500 0.500 0.000
```

Calculated volume: 39.31 Å³/atom
ρ: 3.9 Mg/m³
Raw total energy: -3.6743 eV/atom